P:
BaReAs (meta-GGA SCAN, single point on PBEsol structure); DOS(E_F) = 0.97 states/eV/cell; density = 8.59 g cm⁻³; V = 25.666 Å³ per atom; magnetization = 0.000 μB/atom
1.0
4.177 0.000 0.000
-2.088 3.617 0.000
0.000 0.000 5.097
Ba Re As
1 1 1
direct
0.000 0.000 0.000
0.333 0.667 0.500
0.667 0.333 0.500

---

Q:
BaReAs (meta-GGA SCAN, single point on PBEsol structure); DOS(E_F) = 3.23 states/eV/cell; density = 10.06 g cm⁻³; V = 21.922 Å³ per atom; magnetization = 0.000 μB/atom
1.0
3.322 0.000 0.000
0.000 3.322 0.000
0.000 0.000 11.920
Ba Re As
2 2 2
direct
0.000 0.000 0.000
0.500 0.500 0.500
0.000 0.000 0.298
0.500 0.500 0.798
0.000 0.000 0.715
0.500 0.500 0.215

---

Each structure's energy above the most stable one, in kJ/mol of atoms: P 0.0; Q 8.4.